Material: BiTe2AsI
Method: DFT, PBE
State: optimized geometry

The structure belongs to space group P4/mmm (No. 123); the cell edges are 5.557, 5.557 and 5.422 Å and the angles 90.00°, 90.00° and 90.00°. The asymmetric unit holds Bi at (0.000, 0.000, 0.000), Te at (0.000, 0.500, 0.500), As at (0.500, 0.500, 0.500) and I at (0.500, 0.500, 0.000).

The calculation puts the uncorrected formation energy at 8.5 kcal/mol of atoms.

Material: Sm2CuGePt6
Method: DFT, PBE
State: optimized geometry

The structure belongs to space group C2/m (No. 12); the cell edges are 9.682, 5.582 and 8.341 Å and the angles 90.00°, 112.85° and 90.00°. The asymmetric unit holds Sm at (0.202, 0.000, 0.104), Cu at (0.000, 0.500, 0.000), Ge at (0.000, 0.000, 0.500), Pt at (0.005, 0.255, 0.259) and Pt at (0.250, 0.000, 0.742).

The value obtained for the formation energy is -725 meV/atom.

Material: LiSc2BiH
Method: DFT, PBE
State: optimized geometry

The structure belongs to space group P4/mmm (No. 123); the cell edges are 4.400, 4.400 and 4.519 Å and the angles 90.00°, 90.00° and 90.00°. The asymmetric unit holds Li at (0.000, 0.000, 0.000), Sc at (0.000, 0.500, 0.500), Bi at (0.500, 0.500, 0.000) and H at (0.000, 0.000, 0.500).

The uncorrected energy comes out at -24.0 eV/f.u.

Material: BaSc2Cd2
Method: DFT, PBE
State: optimized geometry

The structure belongs to space group P4/mbm (No. 127); the cell edges are 9.018, 9.018 and 3.442 Å and the angles 90.00°, 90.00° and 90.00°. The asymmetric unit holds Ba at (0.000, 0.000, 0.000), Sc at (0.162, 0.338, 0.500) and Cd at (0.129, 0.629, 0.000).

The value obtained for the formation energy is 9 meV/atom.

Summary of total magnetization in μB/f.u.
0.00; 0.00; 1.35; 0.00
(order as listed above)